(1)
7
Lattice="-3.2883 0.3567 1.2387 -0.2508 -4.5193 -4.4039 3.7199 -4.1001 6.0163" Properties=species:S:1:pos:R:3 comment="Nd3Bi2O2 GGA-PBE relaxed" rho_g_cm3=8.9 energy_ev_per_cell=-45.06 e_form_raw_ev_per_atom=-1.869 crystal_system=monoclinic pbc="T T T"
Nd 0.0000 0.0000 0.0000
Bi 0.4537 -2.4938 1.9231
Nd -2.2905 -3.1919 -0.1267
Bi -0.2728 -5.7688 0.9281
O -1.2913 -3.3174 -2.4759
Nd 2.4713 -5.0707 2.9778
O 1.4721 -4.9452 5.3271

---

(2)
12
Lattice="4.5531 -0.2901 0.7405 -0.0186 6.3179 2.5908 1.0337 0.3736 8.0958" Properties=species:S:1:pos:R:3 comment="Zr5Zn6Cd GGA-PBE relaxed" rho_g_cm3=7.2 energy_ev_per_cell=-53.88 e_form_ev_per_atom=-0.2151 crystal_system=monoclinic pbc="T T T"
Cd 0.0000 0.0000 0.0000
Zr 3.7131 1.0916 6.3642
Zn 4.1295 3.5876 4.8279
Zn 1.4386 2.8139 6.5992
Zr 3.7127 4.2714 7.6081
Zn 1.4293 6.0067 7.9075
Zn 3.3058 1.7926 9.1073
Zr 1.8554 2.1300 3.8190
Zn 2.2623 4.6089 2.3198
Zr -0.0093 3.1590 1.2954
Zr 1.8550 5.3098 5.0629
Zn 4.1388 0.3948 3.5195

---

(3)
5
Lattice="-2.0347 4.3733 -2.8854 -3.4409 1.2189 4.2739 3.9114 3.2802 2.2136" Properties=species:S:1:pos:R:3 comment="ScSnSbTe2 GGA-PBE relaxed" rho_g_cm3=5.1 energy_ev_per_cell=-18.65 e_form_raw_ev_per_atom=0.417 crystal_system=tetragonal de_polymorph_mev_per_atom=497 pbc="T T T"
Sc -0.7821 4.4362 1.8010
Sb 1.9557 1.6401 1.1068
Te -1.0173 2.1867 -1.4427
Sn 0.0000 0.0000 0.0000
Te -1.7205 0.6095 2.1369

---

(4)
12
Lattice="-3.0611 4.1179 1.2454 -0.2902 -4.4539 2.8208 9.1522 4.4120 7.9079" Properties=species:S:1:pos:R:3 comment="Nd3AgAu2 GGA-PBE relaxed" rho_g_cm3=10.0 energy_ev_per_cell=-54.59 e_form_ev_per_atom=-0.5977 crystal_system=trigonal de_polymorph_mev_per_atom=4 pbc="T T T"
Nd -1.4177 1.6076 2.3925
Nd 7.2185 2.4683 9.5816
Nd 3.1891 3.8284 6.3729
Au 0.3894 -0.8238 3.6809
Au 4.5761 2.2060 3.9539
Nd 6.8943 3.3235 5.9570
Ag 0.8776 2.7141 4.3757
Ag 4.9232 1.3619 7.5984
Au 5.4115 4.8997 8.2931
Au 0.0000 0.0000 0.0000
Nd 2.2579 1.0884 1.9509
Nd 2.6117 0.2476 5.6011

---

(5)
5
Lattice="-3.6147 1.4244 0.8828 -1.6680 -3.2602 -1.5695 2.8530 -1.4359 5.0077" Properties=species:S:1:pos:R:3 comment="CeAlSi2Ni GGA-PBE relaxed" rho_g_cm3=5.6 energy_ev_per_cell=-29.55 e_form_raw_ev_per_atom=-0.649 crystal_system=tetragonal pbc="T T T"
Si 0.1632 -1.8145 3.5955
Ce 0.0000 0.0000 0.0000
Al -1.7015 -0.4648 2.7736
Si -2.5928 -1.4573 0.7255
Ni -0.7282 -2.8070 1.5474